VASP calculation (PBE) on crystalline TaAl2Au at its relaxed geometry.

Structure (CIF):
```
data_TaAl2Au
_chemical_formula_sum 'Ta1 Al2 Au1'
_cell_length_a 4.9090
_cell_length_b 4.9090
_cell_length_c 2.8981
_cell_angle_alpha 90.00
_cell_angle_beta 90.00
_cell_angle_gamma 105.41
_symmetry_space_group_name_H-M 'P 1'
_symmetry_Int_Tables_number 1
loop_
_symmetry_equiv_pos_as_xyz
'x,y,z'
loop_
_atom_site_label
_atom_site_type_symbol
_atom_site_fract_x
_atom_site_fract_y
_atom_site_fract_z
_atom_site_occupancy
Ta1 Ta 0.0000 0.0000 0.0000 1
Al1 Al 0.0000 0.5000 0.5000 1
Al2 Al 0.5000 0.0000 0.5000 1
Au1 Au 0.5000 0.5000 0.0000 1
```

Results
Calculated total energy ... -5.898 eV per atom
Crystal system ... orthorhombic
Energy relative to the elements ... -0.244 eV per atom
Energy relative to the lowest polymorph listed for this composition ... 0.191 eV per formula unit
Volume ... 67.3 Å³ per cell
M_tot ... 0.00 μB/cell